# 1
VASP calculation (GGA-PBE) on a geometry-optimized Nb3FeS6 structure.

space group = P6_322, No. 182
volume = 337.1 Å³/cell
uncorrected formation energy = -1013 meV per atom
N(E_F) = 4.19 states/eV per cell

a = 5.7781 Å, b = 5.7781 Å, c = 11.6580 Å
α = 90.00°, β = 90.00°, γ = 120.00°
Last column: nearest neighbours and their distance in Å.
Element x y z (fractional)
Nb1 0.0000 0.0000 0.0000  6 S 2.50
Nb2 0.0000 0.0000 0.5000  6 S 2.50
Nb3 0.3333 0.6667 0.0048  6 S 2.48-2.50
Nb4 0.3333 0.6667 0.4952  6 S 2.48-2.50
Nb5 0.6667 0.3333 0.5048  6 S 2.48-2.50
Nb6 0.6667 0.3333 0.9952  6 S 2.48-2.50
Fe1 0.3333 0.6667 0.7500  6 S 2.31
Fe2 0.6667 0.3333 0.2500  6 S 2.31
S1 0.0076 0.3387 0.6357  1 Fe 2.31, 3 Nb 2.48-2.50
S2 0.0076 0.6689 0.8643  1 Fe 2.31, 3 Nb 2.48-2.50
S3 0.3311 0.3387 0.8643  1 Fe 2.31, 3 Nb 2.48-2.50
S4 0.3311 0.9924 0.6357  1 Fe 2.31, 3 Nb 2.48-2.50
S5 0.3387 0.0076 0.3643  1 Fe 2.31, 3 Nb 2.48-2.50
S6 0.3387 0.3311 0.1357  1 Fe 2.31, 3 Nb 2.48-2.50
S7 0.6613 0.6689 0.6357  1 Fe 2.31, 3 Nb 2.48-2.50
S8 0.6613 0.9924 0.8643  1 Fe 2.31, 3 Nb 2.48-2.50
S9 0.6689 0.0076 0.1357  1 Fe 2.31, 3 Nb 2.48-2.50
S10 0.6689 0.6613 0.3643  1 Fe 2.31, 3 Nb 2.48-2.50
S11 0.9924 0.3311 0.3643  1 Fe 2.31, 3 Nb 2.48-2.50
S12 0.9924 0.6613 0.1357  1 Fe 2.31, 3 Nb 2.48-2.50


# 2
VASP calculation (GGA-PBE) on a geometry-optimized Er3Th4ScS8 structure.

space group = R-3m, No. 166
volume = 344.8 Å³/cell
uncorrected formation energy = -1880 meV per atom
N(E_F) = 5.56 states/eV per cell

a = 8.0392 Å, b = 8.0392 Å, c = 8.0392 Å
α = 57.33°, β = 57.33°, γ = 57.33°
Last column: nearest neighbours and their distance in Å.
Element x y z (fractional)
Er1 0.0000 0.5000 0.5000  6 S 2.71
Er2 0.5000 0.0000 0.5000  6 S 2.71
Er3 0.5000 0.5000 0.0000  6 S 2.71
Th1 0.0000 0.0000 0.5000  6 S 2.87
Th2 0.0000 0.5000 0.0000  6 S 2.87
Th3 0.5000 0.0000 0.0000  6 S 2.87
Th4 0.5000 0.5000 0.5000  6 S 2.92
Sc1 0.0000 0.0000 0.0000  6 S 2.66
S1 0.2390 0.2390 0.7480  1 Sc 2.66, 2 Er 2.71, 3 Th 2.87-2.92
S2 0.2390 0.7480 0.2390  1 Sc 2.66, 2 Er 2.71, 3 Th 2.87-2.92
S3 0.2520 0.7610 0.7610  1 Sc 2.66, 2 Er 2.71, 3 Th 2.87-2.92
S4 0.2568 0.2568 0.2568  3 Er 2.71, 3 Th 2.87
S5 0.7432 0.7432 0.7432  3 Er 2.71, 3 Th 2.87
S6 0.7480 0.2390 0.2390  1 Sc 2.66, 2 Er 2.71, 3 Th 2.87-2.92
S7 0.7610 0.2520 0.7610  1 Sc 2.66, 2 Er 2.71, 3 Th 2.87-2.92
S8 0.7610 0.7610 0.2520  1 Sc 2.66, 2 Er 2.71, 3 Th 2.87-2.92


# 3
VASP calculation (GGA-PBE) on a geometry-optimized Y3HfW structure.

space group = Pm-3m, No. 221
volume = 155.0 Å³/cell
energy of formation = 933 meV/atom
N(E_F) = 5.65 states/eV per cell

a = 5.3711 Å, b = 5.3711 Å, c = 5.3711 Å
α = 90.00°, β = 90.00°, γ = 90.00°
Last column: nearest neighbours and their distance in Å.
Element x y z (fractional)
Y1 0.0000 0.0000 0.5000  2 W 2.69
Y2 0.0000 0.5000 0.0000  2 W 2.69
Y3 0.5000 0.0000 0.0000  2 W 2.69
Hf1 0.5000 0.5000 0.5000  12 Y 3.80
W1 0.0000 0.0000 0.0000  6 Y 2.69